Compound: PSe2F
Source: Alexandria via LeMat-Bulk
Functional: PBE-GGA
Structure: optimized geometry

Cell lengths 2.9207, 2.9207, 26.2589 Å; angles 90.00, 90.00, 120.00 degrees
Space group R-3m (No. 166, hexagonal axes)
One atom of each set of equivalent atoms:
1 P 0.0000 0.0000 0.0000 [3 per cell]
2 Se 0.0000 0.0000 0.0903 [6 per cell]
3 F 0.0000 0.0000 0.5000 [3 per cell]

Properties
As for the volume: 194 Å³/cell. The value obtained for the offset from the most stable computed form is 121.9 kJ/mol of formula units. The calculated total energy comes out at -3.50 eV per atom.


Compound: PSe2F
Source: Alexandria via LeMat-Bulk
Functional: PBE-GGA
Structure: optimized geometry

Cell lengths 3.4925, 3.4925, 22.5142 Å; angles 90.00, 90.00, 120.00 degrees
Space group R-3m (No. 166, hexagonal axes)
One atom of each set of equivalent atoms:
1 P 0.0000 0.0000 0.0000 [3 per cell]
2 Se 0.0000 0.0000 0.4023 [6 per cell]
3 F 0.0000 0.0000 0.5000 [3 per cell]

Properties
As for the volume: 238 Å³/cell. The value obtained for the offset from the most stable computed form is 11.3 kJ/mol of formula units. The calculated total energy comes out at -3.79 eV per atom.


Compound: PSe3F
Source: Alexandria via LeMat-Bulk
Functional: PBE-GGA
Structure: optimized geometry

Cell lengths 4.7778, 4.7778, 4.7778 Å; angles 90.00, 90.00, 90.00 degrees
Space group Pm-3m (No. 221)
One atom of each set of equivalent atoms:
1 P 0.0000 0.0000 0.0000 [1 per cell]
2 Se 0.0000 0.0000 0.5000 [3 per cell]
3 F 0.5000 0.5000 0.5000 [1 per cell]

Properties
As for the volume: 109 Å³/cell. The value obtained for the offset from the most stable computed form is 0.0 kJ/mol of formula units. The calculated total energy comes out at -3.14 eV per atom.


no.,E_form (uncorrected) (meV per atom)
1,58.9
2,-227.8
3,407.4